The following is a DFT calculation (PBE) of a geometry-optimized Tc2IrPb structure.

Unit cell a=6.1687 b=6.1687 c=6.7787 alpha=62.93 beta=62.93 gamma=90.00
Last column: nearest neighbours and their distance in Å.
Positions (direct):
1 Pb 0.7500 0.2500 0.5000  4 Tc 2.72
2 Tc 0.1702 0.6250 0.2500  2 Ir 2.38
3 Tc 0.8750 0.8298 0.7500  2 Ir 2.38
4 Pb 0.0000 0.0000 0.0000  4 Tc 2.72
5 Tc 0.5798 0.1250 0.2500  2 Ir 2.38
6 Ir 0.2500 0.7500 0.5000  4 Tc 2.38
7 Ir 0.5000 0.5000 0.0000  4 Tc 2.38
8 Tc 0.3750 0.4202 0.7500  2 Ir 2.38

- Size of the total moment: 0.00 μB per formula unit
- Energy: -7.07 eV per atom
- Formation energy: 1259 meV/atom